Compound: Pm7PrOs2
Source: Alexandria
Functional: GGA-PBE
Structure: relaxed

The space group is Cmmm (No. 65) and the conventional cell measures 8.8420, 14.3980 and 5.5891 Å, with angles of 90.00, 90.00 and 90.00 degrees. Symmetry generates all atoms from Pm at (0.0000, 0.0000, 0.0000), Pm at (0.0000, 0.2040, 0.5000), Pm at (0.1928, 0.3649, 0.0000), Pr at (0.0000, 0.5000, 0.5000) and Os at (0.0000, 0.2031, 0.0000).

Its density of states at the Fermi level is 1.20 states/eV/atom. The formation energy from the elements is 115 meV/atom. The energy comes out at -5.93 eV/atom. As for the total magnetization: 0.01 μB per cell.